Record 1
DyCrOs: relaxed, PBE.

a = 10.8861 Å, b = 9.8480 Å, c = 5.7406 Å
α = 84.20°, β = 64.16°, γ = 31.64°
Closest atoms and distances in Å follow each position.
Atoms (fractional coordinates):
Dy 0.0223 0.7277 0.0223  4 Os 2.85-2.87, 1 Dy 3.08
Dy 0.2723 0.9777 0.2723  4 Os 2.85-2.87, 1 Dy 3.08
Dy 0.7277 0.0223 0.7277  4 Os 2.85-2.87, 1 Dy 3.08
Dy 0.9777 0.2723 0.9777  4 Os 2.85-2.87, 1 Dy 3.08
Cr 0.2829 0.2829 0.4671  2 Os 2.48
Cr 0.4671 0.4671 0.2829  2 Os 2.48
Cr 0.5329 0.5329 0.7171  2 Os 2.48
Cr 0.7171 0.7171 0.5329  2 Os 2.48
Os 0.0018 0.0018 0.7482  2 Cr 2.48
Os 0.2518 0.2518 0.9982  2 Cr 2.48
Os 0.7482 0.7482 0.0018  2 Cr 2.48
Os 0.9982 0.9982 0.2518  2 Cr 2.48

- SG: Fddd, No. 70
- Theoretical density: 11.28 g/cm³
- Raw total energy: -8.146 eV per atom
- DOS(E_F): 12.2 states/eV/cell

***

Record 2
Dy2CrOs: relaxed, PBE.

a = 10.2105 Å, b = 10.2105 Å, c = 10.2105 Å
α = 18.44°, β = 18.44°, γ = 18.44°
Closest atoms and distances in Å follow each position.
Atoms (fractional coordinates):
Dy 0.0964 0.0964 0.0964  3 Os 2.84, 1 Cr 2.90
Dy 0.9036 0.9036 0.9036  3 Os 2.84, 1 Cr 2.90
Cr 0.0000 0.0000 0.0000  2 Dy 2.90
Os 0.5000 0.5000 0.5000  6 Dy 2.84

- SG: R-3m, No. 166
- Theoretical density: 10.13 g/cm³
- Raw total energy: -6.855 eV per atom
- DOS(E_F): 2.8 states/eV/cell

***

What did the second record say?
Dy2CrOs: relaxed, PBE.

a = 10.2105 Å, b = 10.2105 Å, c = 10.2105 Å
α = 18.44°, β = 18.44°, γ = 18.44°
Closest atoms and distances in Å follow each position.
Atoms (fractional coordinates):
Dy 0.0964 0.0964 0.0964  3 Os 2.84, 1 Cr 2.90
Dy 0.9036 0.9036 0.9036  3 Os 2.84, 1 Cr 2.90
Cr 0.0000 0.0000 0.0000  2 Dy 2.90
Os 0.5000 0.5000 0.5000  6 Dy 2.84

- SG: R-3m, No. 166
- Theoretical density: 10.13 g/cm³
- Raw total energy: -6.855 eV per atom
- DOS(E_F): 2.8 states/eV/cell

***

DOS(E_F) of number 1 (DyCrOs)?
12.2 states/eV/cell

***

Look up the raw total energy of the second one.
-6.855 eV per atom